! Pm2GdHf | the Alexandria database | GGA-PBE | optimized geometry; values from VASP
! Electronic total energy (eV/atom): -8.1688
! Crystal system: tetragonal
! DOS(E_F) (states/eV per cell): 6.3
! Space-group type: P4/mmm (123)
! Energy of formation from the pure elements (eV per atom): 0.215
&SYSTEM
  ibrav = 0, nat = 4, ntyp = 3
/
ATOMIC_SPECIES
Pm 145.00 Pm.upf
Gd 157.25 Gd.upf
Hf 178.49 Hf.upf
ATOMIC_POSITIONS crystal
Pm 0.000 0.000 0.781
Pm 0.000 0.000 0.219
Gd 0.500 0.500 0.500
Hf 0.500 0.500 0.000
CELL_PARAMETERS angstrom
-1.232 -3.075 -2.283
3.342 0.308 -2.218
3.481 -4.793 4.578